The following is a DFT calculation (GGA+U) of a relaxed AcV2O7 crystal.

The total magnetization comes out at 1.0 μB/f.u. As for the final energy: -73.806 eV per formula unit. The space group is Cmmm. The calculation puts the volume at 114.84 Å³/cell.

a = 3.755 Å, b = 5.883 Å, c = 5.883 Å
α = 117.91°, β = 90.00°, γ = 90.00°
Sites, in units of the cell vectors:
Ac: 0.000 0.000 0.000
O: 0.500 0.946 0.668
O: 0.000 0.707 0.293
O: 0.500 0.500 0.500
O: 0.500 0.668 0.946
O: 0.500 0.332 0.054
V: 0.500 0.698 0.302
O: 0.500 0.054 0.332
O: 0.000 0.293 0.707
V: 0.500 0.302 0.698